[1]
8
Lattice="-2.1821 -2.5005 2.7913 6.3774 -0.9511 4.1335 0.4191 5.4852 5.2414" Properties=species:S:1:pos:R:3 comment="LaIn2PbSe4, relaxed, DFT PBE-GGA" formation_energy_uncorrected_kj_per_mol_atoms=-85.0 crystal_system=monoclinic pbc="T T T"
Se 3.7227 -0.4860 5.8435
Se 0.8917 2.5195 6.3228
Se 5.0816 3.3341 6.9594
Se -0.4672 -1.3006 5.2069
La 3.3982 2.2671 4.6874
In -0.8815 1.4923 4.0164
In 0.4191 5.4852 5.2414
Pb 2.0976 -1.7258 3.4624

***

[2]
5
Lattice="5.6727 0.0000 0.0000 0.0000 5.6727 0.0000 0.0000 0.0000 5.8503" Properties=species:S:1:pos:R:3 comment="CaInSeBr2, relaxed, DFT PBE-GGA" formation_energy_uncorrected_kj_per_mol_atoms=-91.2 crystal_system=tetragonal pbc="T T T"
Br 0.0000 2.8364 0.0000
Br 2.8364 0.0000 0.0000
Se 0.0000 0.0000 2.9251
Ca 0.0000 0.0000 0.0000
In 2.8364 2.8364 2.9251

***

[3]
16
Lattice="3.4028 0.0000 0.0000 0.0000 6.0437 0.0000 0.0000 0.0000 10.2313" Properties=species:S:1:pos:R:3 comment="YTcB2, relaxed, DFT PBE-GGA" crystal_system=orthorhombic dft_energy_ev_per_atom=-7.96 pbc="T T T"
Y 2.5521 5.3726 1.4183
Y 2.5521 2.3507 3.6974
Y 0.8507 0.6711 8.8131
Y 0.8507 3.6930 6.5339
Tc 2.5521 5.2873 4.4788
Tc 0.8507 0.7565 5.7525
Tc 2.5521 2.2654 0.6368
Tc 0.8507 3.7783 9.5945
B 2.5521 1.6252 7.0326
B 0.8507 0.2004 3.3349
B 2.5521 4.6471 8.3144
B 0.8507 4.4185 3.1988
B 2.5521 2.8215 8.4506
B 2.5521 5.8434 6.8964
B 0.8507 3.2223 1.7808
B 0.8507 1.3966 1.9169

***

[4]
11
Lattice="5.4924 -0.2046 -0.2620 -2.4120 7.5438 1.1405 -2.4120 -0.7223 7.5952" Properties=species:S:1:pos:R:3 comment="Pm3TmSc7, relaxed, DFT PBE-GGA" crystal_system=monoclinic dft_energy_ev_per_atom=-5.42 pbc="T T T"
Sc 0.1369 1.3793 1.7664
Sc -2.2230 6.8626 5.5282
Sc 2.8915 -0.2457 2.9456
Sc -2.4120 3.4107 4.3679
Sc -2.2230 3.6996 7.9981
Sc 2.8915 2.9173 0.4758
Sc 0.5315 5.2376 6.7074
Pm 2.7462 -0.1023 -0.1310
Pm -2.4120 5.7577 2.5352
Pm -2.4120 1.0637 6.2006
Tm 0.3342 3.3084 4.2369